The following is a DFT calculation (PBE) of a relaxed structure of CdCoGe.

Values from the calculation:
* spin magnetization: 0.09 μB per atom
* DFT total energy: -4.03 eV per atom
* space group: F-43m

Cell: 4.186 4.186 4.186 Å, 60.00 60.00 60.00°
Atoms (fractional coordinates):
Cd: 0.250 0.250 0.250
Co: 0.000 0.000 0.000
Ge: 0.750 0.750 0.750